Record 1
Al2CrBiPd | PBE | relaxed

* E: -4.69 eV/atom
* total moment: 0.00 μB per atom

a = 4.6567 Å, b = 4.6567 Å, c = 4.9729 Å
α = 90.00°, β = 90.00°, γ = 90.00°
With the nearest neighbours (Å) after each atom.
Space group P4/mmm (No. 123)
One atom of each set of equivalent atoms:
1 Al 0.0000 0.5000 0.0000 x2  2 Cr 2.33
2 Cr 0.0000 0.0000 0.0000 x1  4 Al 2.33, 2 Bi 2.49
3 Bi 0.0000 0.0000 0.5000 x1  2 Cr 2.49
4 Pd 0.5000 0.5000 0.5000 x1  4 Bi 3.29, 8 Al 3.41

Record 2
CsAl2Bi2 | PBE | relaxed

* E: -3.36 eV/atom
* total moment: 0.00 μB per atom
* energy above the lowest structure with this stoichiometry: 0.00 kJ/mol of atoms

a = 4.8109 Å, b = 4.8109 Å, c = 15.8419 Å
α = 90.00°, β = 90.00°, γ = 90.00°
With the nearest neighbours (Å) after each atom.
Space group I4/mmm (No. 139)
One atom of each set of equivalent atoms:
1 Cs 0.0000 0.0000 0.0000 x2  8 Bi 4.12
2 Al 0.0000 0.5000 0.2500 x4  4 Bi 2.91
3 Bi 0.0000 0.0000 0.3534 x4  4 Al 2.91

Record 3
CsAlBi3 | PBE | relaxed

* E: -3.11 eV/atom
* total moment: 0.00 μB per atom
* energy above the lowest structure with this stoichiometry: 22.35 kJ/mol of atoms

a = 5.7021 Å, b = 5.7021 Å, c = 5.7021 Å
α = 90.00°, β = 90.00°, γ = 90.00°
With the nearest neighbours (Å) after each atom.
Space group Pm-3m (No. 221)
One atom of each set of equivalent atoms:
1 Cs 0.0000 0.0000 0.0000 x1  12 Bi 4.03
2 Al 0.5000 0.5000 0.5000 x1  6 Bi 2.85
3 Bi 0.0000 0.5000 0.5000 x3  2 Al 2.85

Record 4
Cs3AlBi2 | PBE | relaxed

* E: -2.62 eV/atom
* total moment: 0.00 μB per atom

a = 15.2290 Å, b = 4.9182 Å, c = 16.5245 Å
α = 90.00°, β = 90.00°, γ = 90.00°
With the nearest neighbours (Å) after each atom.
Space group Pnma (No. 62)
One atom of each set of equivalent atoms:
1 Cs 0.0736 0.2500 0.1124 x4  5 Bi 3.95-4.42
2 Cs 0.1160 0.7500 0.5591 x4  5 Bi 3.98-4.27, 3 Al 3.99-4.24
3 Cs 0.1694 0.2500 0.7907 x4  4 Bi 3.86-4.08, 2 Al 3.90
4 Al 0.1524 0.2500 0.3719 x4  3 Bi 2.71-2.89
5 Bi 0.0708 0.7500 0.3181 x4  2 Al 2.89
6 Bi 0.2034 0.7500 0.9682 x4  1 Al 2.71

Record 5
CsAlBi3 | PBE | relaxed

* E: -1.79 eV/atom
* total moment: 0.00 μB per atom
* energy above the lowest structure with this stoichiometry: 149.99 kJ/mol of atoms

a = 6.3550 Å, b = 6.3550 Å, c = 6.3550 Å
α = 90.00°, β = 90.00°, γ = 90.00°
With the nearest neighbours (Å) after each atom.
Space group Pm-3m (No. 221)
One atom of each set of equivalent atoms:
1 Cs 0.0000 0.0000 0.0000 x1  6 Bi 3.18
2 Al 0.5000 0.5000 0.5000 x1  12 Bi 4.49
3 Bi 0.0000 0.0000 0.5000 x3  2 Cs 3.18

Record 6
Cs2AlBi2 | PBE | relaxed

* E: -2.88 eV/atom
* total moment: 0.00 μB per atom
* energy above the lowest structure with this stoichiometry: 0.00 kJ/mol of atoms

a = 16.8178 Å, b = 7.3857 Å, c = 10.6271 Å
α = 90.00°, β = 125.14°, γ = 90.00°
With the nearest neighbours (Å) after each atom.
Space group C2/m (No. 12)
One atom of each set of equivalent atoms:
1 Cs 0.1319 0.0000 0.3942 x4  4 Bi 3.97-4.31, 2 Al 4.36, 1 Cs 4.41
2 Cs 0.2395 0.5000 0.8686 x4  4 Bi 3.73-4.08, 1 Al 3.93
3 Al 0.0025 0.5000 0.8594 x4  3 Bi 2.70-2.76
4 Bi 0.0663 0.5000 0.4413 x4  1 Al 2.70
5 Bi 0.1666 0.5000 0.1540 x4  2 Al 2.73-2.76

Record 7
CsAlBi3 | PBE | relaxed

* E: -3.34 eV/atom
* total moment: 0.00 μB per atom
* energy above the lowest structure with this stoichiometry: 0.00 kJ/mol of atoms

a = 7.3037 Å, b = 5.8618 Å, c = 9.6874 Å
α = 90.00°, β = 90.00°, γ = 90.00°
With the nearest neighbours (Å) after each atom.
Space group P2_1 (No. 4)
One atom of each set of equivalent atoms:
1 Cs 0.2505 0.0000 0.0772 x2  9 Bi 3.95-4.35
2 Al 0.2487 0.7066 0.5288 x2  5 Bi 2.79-2.95
3 Bi 0.0044 0.5192 0.3275 x2  2 Al 2.86-2.95, 1 Bi 3.09
4 Bi 0.2500 0.4159 0.7567 x2  1 Al 2.79, 2 Bi 3.09
5 Bi 0.4973 0.5192 0.3300 x2  2 Al 2.87-2.94, 1 Bi 3.09

Record 8
CsAl2Bi2 | PBE | relaxed

* E: -3.08 eV/atom
* total moment: 0.00 μB per atom
* energy above the lowest structure with this stoichiometry: 26.80 kJ/mol of atoms

a = 9.5160 Å, b = 9.5160 Å, c = 3.9192 Å
α = 90.00°, β = 90.00°, γ = 90.00°
With the nearest neighbours (Å) after each atom.
Space group P4/mbm (No. 127)
One atom of each set of equivalent atoms:
1 Cs 0.0000 0.0000 0.0000 x2  4 Bi 3.79, 2 Cs 3.92
2 Al 0.1234 0.3766 0.5000 x4  4 Bi 3.04, 1 Al 3.32
3 Bi 0.1202 0.6202 0.0000 x4  4 Al 3.04, 1 Bi 3.24

Record 9
CsAl2Bi2 | PBE | relaxed

* E: -3.28 eV/atom
* total moment: 0.00 μB per atom
* energy above the lowest structure with this stoichiometry: 7.72 kJ/mol of atoms

a = 5.3809 Å, b = 5.3809 Å, c = 11.0461 Å
α = 90.00°, β = 90.00°, γ = 90.00°
With the nearest neighbours (Å) after each atom.
Space group I4/mmm (No. 139)
One atom of each set of equivalent atoms:
1 Cs 0.0000 0.0000 0.0000 x2  8 Bi 3.86, 10 Al 4.04-4.16
2 Al 0.0000 0.0000 0.3769 x4  1 Al 2.72, 4 Bi 3.03
3 Bi 0.0000 0.5000 0.2500 x4  4 Al 3.03

Record 10
Cs3AlBi | PBE | relaxed

* E: -1.67 eV/atom
* total moment: 0.20 μB per atom
* energy above the lowest structure with this stoichiometry: 0.00 kJ/mol of atoms

a = 7.5033 Å, b = 7.5033 Å, c = 7.5033 Å
α = 90.00°, β = 90.00°, γ = 90.00°
With the nearest neighbours (Å) after each atom.
Space group Pm-3m (No. 221)
One atom of each set of equivalent atoms:
1 Cs 0.0000 0.0000 0.5000 x3  2 Bi 3.75
2 Al 0.5000 0.5000 0.5000 x1  12 Cs 5.31
3 Bi 0.0000 0.0000 0.0000 x1  6 Cs 3.75

Record 11
Cs2AlBi2 | PBE | relaxed

* E: -2.76 eV/atom
* total moment: 0.00 μB per atom
* energy above the lowest structure with this stoichiometry: 11.80 kJ/mol of atoms

a = 7.9793 Å, b = 7.9793 Å, c = 6.5215 Å
α = 90.00°, β = 90.00°, γ = 90.00°
With the nearest neighbours (Å) after each atom.
Space group P4/mbm (No. 127)
One atom of each set of equivalent atoms:
1 Cs 0.1698 0.3302 0.0000 x4  5 Cs 3.83-4.19, 6 Bi 3.88-4.12
2 Al 0.0000 0.0000 0.5000 x2  4 Bi 3.06
3 Bi 0.1444 0.6444 0.5000 x4  2 Al 3.06, 1 Bi 3.26

Record 12
CsAl2Bi | PBE | relaxed

* E: -2.69 eV/atom
* total moment: 0.00 μB per atom

a = 9.0605 Å, b = 9.0605 Å, c = 7.4557 Å
α = 90.00°, β = 90.00°, γ = 90.00°
With the nearest neighbours (Å) after each atom.
Space group I-42d (No. 122)
One atom of each set of equivalent atoms:
1 Cs 0.0000 0.0000 0.0000 x4  2 Bi 3.73, 8 Al 3.81-3.95
2 Al 0.1786 0.2500 0.6250 x8  2 Bi 2.94
3 Bi 0.0000 0.0000 0.5000 x4  4 Al 2.94

Which of these has the highest total moment?
Cs3AlBi

Please write out number 5 again, unchanged.
CsAlBi3 | PBE | relaxed

* E: -1.79 eV/atom
* total moment: 0.00 μB per atom
* energy above the lowest structure with this stoichiometry: 149.99 kJ/mol of atoms

a = 6.3550 Å, b = 6.3550 Å, c = 6.3550 Å
α = 90.00°, β = 90.00°, γ = 90.00°
With the nearest neighbours (Å) after each atom.
Space group Pm-3m (No. 221)
One atom of each set of equivalent atoms:
1 Cs 0.0000 0.0000 0.0000 x1  6 Bi 3.18
2 Al 0.5000 0.5000 0.5000 x1  12 Bi 4.49
3 Bi 0.0000 0.0000 0.5000 x3  2 Cs 3.18

Which formula does entry 11 have?
Cs2AlBi2

Which formula does entry 6 have?
Cs2AlBi2